Version w
This record from the Alexandria database describes a relaxed structure of TbSmTlZn. The functional is GGA-PBE.

Unit cell a=3.7070 b=3.7070 c=7.5391 alpha=90.00 beta=90.00 gamma=90.00
With the nearest neighbours (Å) after each atom.
Space group P4mm (No. 99)
Symmetry-distinct sites (fractional):
Tb 0.0000 0.0000 0.0000  4 Zn 3.10, 4 Tl 3.30, 1 Sm 3.44
Sm 0.0000 0.0000 0.4559  4 Zn 3.17, 4 Tl 3.36, 1 Tb 3.44
Tl 0.5000 0.5000 0.7340  4 Tb 3.30, 4 Sm 3.36, 1 Zn 3.66
Zn 0.5000 0.5000 0.2197  4 Tb 3.10, 4 Sm 3.17



Version x
This record from the Alexandria database describes a relaxed structure of TbSmTlZn. The functional is GGA-PBE.

Unit cell a=7.4870 b=7.4870 c=7.4870 alpha=90.00 beta=90.00 gamma=90.00
With the nearest neighbours (Å) after each atom.
Space group F-43m (No. 216)
Symmetry-distinct sites (fractional):
Tb 0.0000 0.0000 0.0000  4 Tl 3.24, 4 Zn 3.24
Sm 0.0000 0.0000 0.5000  4 Zn 3.24, 4 Tl 3.24
Tl 0.2500 0.2500 0.2500  4 Sm 3.24, 4 Tb 3.24
Zn 0.2500 0.2500 0.7500  4 Tb 3.24, 4 Sm 3.24



Tell me which of them is the least stable. Sure, it is version x.



Version w
This record from the Alexandria database describes a relaxed structure of TbSm2Tm5. The functional is GGA-PBE.

Unit cell a=7.0621 b=14.1290 c=4.9864 alpha=90.00 beta=90.00 gamma=90.00
With the nearest neighbours (Å) after each atom.
Space group Pbam (No. 55)
Symmetry-distinct sites (fractional):
Tb 0.0000 0.0000 0.0000  8 Tm 3.53-3.54, 4 Sm 3.54
Sm 0.2487 0.3746 0.5000  10 Tm 3.52-3.54, 2 Tb 3.54
Tm 0.0000 0.5000 0.0000  4 Sm 3.53, 6 Tm 3.53, 2 Tb 3.53
Tm 0.0013 0.7497 0.0000  4 Sm 3.52-3.53, 7 Tm 3.52-3.53, 1 Tb 3.54
Tm 0.2489 0.1252 0.5000  4 Sm 3.52-3.54, 6 Tm 3.52-3.53, 2 Tb 3.53



Version x
This record from the Alexandria database describes a relaxed structure of TbSm2Tm5. The functional is GGA-PBE.

Unit cell a=16.1260 b=9.7688 c=6.4627 alpha=90.00 beta=98.53 gamma=90.00
With the nearest neighbours (Å) after each atom.
Space group C2/c (No. 15)
Symmetry-distinct sites (fractional):
Tb 0.2500 0.2500 0.0000  2 Sm 2.98
Sm 0.0780 0.2443 0.1166  1 Tb 2.98, 2 Tm 3.18-3.30, 1 Sm 3.25
Tm 0.0000 0.4433 0.7500  4 Sm 3.18-3.46, 2 Tm 3.42
Tm 0.1003 0.0915 0.6454  4 Sm 3.30-3.70, 1 Tb 3.44, 5 Tm 3.60-3.69
Tm 0.1965 0.4123 0.5223  2 Tb 3.42-3.46, 1 Sm 3.43, 7 Tm 3.60-3.70



Tell me which of them is the least stable. Sure, it is version x.



Version w
This record from the Alexandria database describes a relaxed structure of Tb4SmTm4. The functional is GGA-PBE.

Unit cell a=10.6173 b=10.6173 c=4.9812 alpha=90.00 beta=90.00 gamma=90.00
With the nearest neighbours (Å) after each atom.
Space group I4/mmm (No. 139)
Symmetry-distinct sites (fractional):
Tb 0.0000 0.3327 0.0000  6 Tm 3.53-3.54, 1 Sm 3.53, 5 Tb 3.54-3.55
Sm 0.0000 0.0000 0.0000  4 Tb 3.53, 8 Tm 3.53
Tm 0.1670 0.1670 0.5000  4 Tm 3.52-3.55, 6 Tb 3.53-3.54, 2 Sm 3.53



Version x
This record from the Alexandria database describes a relaxed structure of Tb4SmTm4. The functional is GGA-PBE.

Unit cell a=6.2612 b=17.0832 c=10.7346 alpha=90.00 beta=99.37 gamma=90.00
With the nearest neighbours (Å) after each atom.
Space group C2/m (No. 12)
Symmetry-distinct sites (fractional):
Tb 0.0000 0.1432 0.0000  6 Tm 3.33-3.43, 2 Tb 3.58, 2 Sm 3.63
Tb 0.0000 0.3153 0.5000  4 Tb 3.43-3.45, 4 Tm 3.55-3.60
Tb 0.0017 0.1423 0.6668  5 Tm 3.31-3.63, 1 Sm 3.33, 4 Tb 3.43-3.58
Sm 0.2252 0.5000 0.7801  7 Tm 3.21-3.59, 2 Tb 3.33
Tm 0.0035 0.3151 0.1653  5 Tb 3.40-3.60, 2 Tm 3.53-3.54, 1 Sm 3.56
Tm 0.2244 0.5000 0.1129  3 Sm 3.21-3.57, 2 Tb 3.33, 4 Tm 3.40-3.57
Tm 0.2269 0.5000 0.4457  3 Tm 3.24-3.57, 6 Tb 3.31-3.63, 2 Sm 3.41-3.59



Tell me which of them is the least stable. Sure, it is version x.



Version w
This record from the Alexandria database describes a relaxed structure of Tb2Sm3Tm3. The functional is GGA-PBE.

Unit cell a=5.0214 b=5.0368 c=20.1428 alpha=90.00 beta=90.00 gamma=90.00
With the nearest neighbours (Å) after each atom.
Space group Immm (No. 71)
Symmetry-distinct sites (fractional):
Tb 0.0000 0.0000 0.2495  4 Tm 3.54-3.56, 4 Tb 3.56, 4 Sm 3.57-3.58
Sm 0.0000 0.0000 0.0000  4 Sm 3.55, 8 Tm 3.56
Sm 0.0000 0.5000 0.1242  6 Tm 3.54-3.56, 2 Sm 3.55, 4 Tb 3.57-3.58
Tm 0.0000 0.0000 0.5000  8 Sm 3.54-3.56, 4 Tm 3.57
Tm 0.0000 0.5000 0.3746  4 Tb 3.54-3.56, 6 Sm 3.56, 2 Tm 3.57



Version x
This record from the Alexandria database describes a relaxed structure of Tb2Sm3Tm3. The functional is GGA-PBE.

Unit cell a=16.1092 b=5.6986 c=6.0096 alpha=90.00 beta=110.71 gamma=90.00
With the nearest neighbours (Å) after each atom.
Space group C2/m (No. 12)
Symmetry-distinct sites (fractional):
Tb 0.2502 0.0000 0.1816  5 Sm 3.42-3.80, 5 Tm 3.45-3.79, 2 Tb 3.59
Sm 0.0000 0.5000 0.5000  2 Sm 3.27, 4 Tm 3.48
Sm 0.1335 0.5000 0.1969  1 Sm 3.27, 4 Tb 3.42-3.54, 3 Tm 3.51-3.55
Tm 0.0000 0.0000 0.0000  2 Tm 3.37, 4 Sm 3.51
Tm 0.1312 0.0000 0.5791  1 Tm 3.37, 4 Tb 3.45-3.55, 5 Sm 3.48-3.67



Tell me which of them is the least stable. Sure, it is version x.



Version w
This record from the Alexandria database describes a relaxed structure of Tb6SmTm. The functional is GGA-PBE.

Unit cell a=5.0372 b=5.0372 c=10.0575 alpha=90.00 beta=90.00 gamma=90.00
With the nearest neighbours (Å) after each atom.
Space group P4/mmm (No. 123)
Symmetry-distinct sites (fractional):
Tb 0.0000 0.0000 0.0000  8 Tb 3.54, 4 Tm 3.56
Tb 0.0000 0.0000 0.5000  4 Sm 3.56, 8 Tb 3.57
Tb 0.0000 0.5000 0.2477  8 Tb 3.54-3.57, 2 Tm 3.54, 2 Sm 3.57
Sm 0.5000 0.5000 0.5000  12 Tb 3.56-3.57
Tm 0.5000 0.5000 0.0000  12 Tb 3.54-3.56



Version x
This record from the Alexandria database describes a relaxed structure of Tb6SmTm. The functional is GGA-PBE.

Unit cell a=9.9286 b=6.8556 c=8.4977 alpha=90.00 beta=103.92 gamma=90.00
With the nearest neighbours (Å) after each atom.
Space group C2/m (No. 12)
Symmetry-distinct sites (fractional):
Tb 0.1289 0.0000 0.4261  3 Tb 3.11-3.42
Tb 0.1951 0.2380 0.8021  5 Tb 3.26-3.59, 1 Sm 3.34, 2 Tm 3.37-3.49
Sm 0.0000 0.5000 0.5000  6 Tb 3.34-3.59
Tm 0.0000 0.5000 0.0000  8 Tb 3.37-3.49



Tell me which of them is the least stable. Sure, it is version x.



Version w
This record from the Alexandria database describes a relaxed structure of Tb5Sm3Tm2. The functional is GGA-PBE.

Unit cell a=11.1271 b=17.7138 c=6.7301 alpha=90.00 beta=90.00 gamma=90.00
With the nearest neighbours (Å) after each atom.
Space group Ibam (No. 72)
Symmetry-distinct sites (fractional):
Tb 0.0000 0.0000 0.2500  6 Tb 3.37-3.63, 4 Tm 3.41
Tb 0.0000 0.3188 0.2500  1 Sm 3.21, 4 Tb 3.33-3.37
Tb 0.1025 0.1699 0.0000  1 Tm 3.13, 2 Tb 3.33, 1 Sm 3.46
Sm 0.0000 0.5000 0.2500  4 Tm 3.15, 2 Tb 3.21, 2 Sm 3.37
Sm 0.2088 0.1702 0.5000  6 Tb 3.46-3.66, 1 Tm 3.51
Tm 0.2365 0.4750 0.5000  3 Tb 3.13-3.41, 2 Sm 3.15, 2 Tm 3.48



Version x
This record from the Alexandria database describes a relaxed structure of Tb5Sm3Tm2. The functional is GGA-PBE.

Unit cell a=10.7112 b=15.7498 c=9.4604 alpha=90.00 beta=124.10 gamma=90.00
With the nearest neighbours (Å) after each atom.
Space group C2/c (No. 15)
Symmetry-distinct sites (fractional):
Tb 0.0000 0.0266 0.2500  5 Sm 3.25-3.42, 2 Tm 3.38, 2 Tb 3.49
Tb 0.0000 0.2718 0.7500  1 Tb 3.10, 2 Sm 3.28
Tb 0.0000 0.4686 0.7500  1 Tb 3.10, 4 Tm 3.31-3.45
Tb 0.2337 0.3868 0.2218  2 Tm 3.46-3.61, 3 Sm 3.46-3.67, 3 Tb 3.49-3.69
Sm 0.0000 0.2331 0.2500  3 Tb 3.25-3.60, 4 Tm 3.31-3.56, 2 Sm 3.50
Sm 0.1417 0.1243 0.0454  1 Tm 3.20, 5 Tb 3.28-3.51, 1 Sm 3.50
Tm 0.1553 0.3823 0.5468  3 Sm 3.20-3.56, 4 Tb 3.31-3.46



Tell me which of them is the least stable. Sure, it is version w.



Version w
This record from the Alexandria database describes a relaxed structure of Tb5Sm2Tm. The functional is GGA-PBE.

Unit cell a=7.1399 b=14.2835 c=5.0360 alpha=90.00 beta=90.00 gamma=90.00
With the nearest neighbours (Å) after each atom.
Space group Pbam (No. 55)
Symmetry-distinct sites (fractional):
Tb 0.0000 0.0000 0.0000  6 Tb 3.56-3.58, 4 Sm 3.56, 2 Tm 3.57
Tb 0.0006 0.2504 0.0000  7 Tb 3.56-3.58, 1 Tm 3.56, 4 Sm 3.57
Tb 0.2495 0.8752 0.5000  4 Sm 3.56-3.58, 6 Tb 3.56-3.57, 2 Tm 3.57
Sm 0.2494 0.6246 0.5000  2 Tm 3.56, 10 Tb 3.56-3.58
Tm 0.0000 0.5000 0.0000  4 Sm 3.56, 8 Tb 3.56-3.57



Version x
This record from the Alexandria database describes a relaxed structure of Tb5Sm2Tm. The functional is GGA-PBE.

Unit cell a=5.8994 b=10.7531 c=8.6554 alpha=90.00 beta=106.73 gamma=90.00
With the nearest neighbours (Å) after each atom.
Space group P2_1/m (No. 11)
Symmetry-distinct sites (fractional):
Tb 0.2065 0.0879 0.3696  4 Tb 3.28-3.58, 1 Tm 3.37, 2 Sm 3.43-3.66
Tb 0.2517 0.7500 0.4487  8 Tb 3.58-3.91, 1 Tm 3.63, 2 Sm 3.69
Tb 0.2879 0.0841 0.7606  3 Sm 3.19-3.53, 3 Tb 3.28-3.57, 1 Tm 3.49
Sm 0.1643 0.6067 0.0487  2 Sm 2.97-3.08, 1 Tb 3.19
Tm 0.4449 0.2500 0.1222  5 Tb 3.37-3.63, 2 Sm 3.44



Tell me which of them is the least stable. Sure, it is version x.



Version w
This record from the Alexandria database describes a relaxed structure of Tb4SmTm5. The functional is GGA-PBE.

Unit cell a=6.2478 b=6.6628 c=8.3919 alpha=77.69 beta=68.17 gamma=89.99
With the nearest neighbours (Å) after each atom.
Space group P1 (No. 1)
Symmetry-distinct sites (fractional):
Tb 0.0000 0.0000 0.0000  7 Tm 3.47-3.62, 3 Tb 3.50-3.59, 2 Sm 3.62
Tb 0.0350 0.9011 0.5972  8 Tm 3.48-3.63, 3 Tb 3.49-3.60, 1 Sm 3.51
Tb 0.2339 0.3026 0.1999  8 Tm 3.48-3.62, 3 Tb 3.49-3.60, 1 Sm 3.50
Tb 0.7990 0.6010 0.3985  8 Tm 3.49-3.62, 3 Tb 3.49-3.59, 1 Sm 3.60
Sm 0.6006 0.2028 0.7979  7 Tm 3.48-3.61, 5 Tb 3.50-3.62
Tm 0.2020 0.4026 0.5987  4 Tm 3.47-3.60, 6 Tb 3.48-3.62, 2 Sm 3.59-3.61
Tm 0.4018 0.8010 0.1982  4 Tm 3.47-3.60, 7 Tb 3.48-3.62, 1 Sm 3.61
Tm 0.4318 0.7009 0.7993  5 Tm 3.47-3.61, 2 Sm 3.48-3.50, 5 Tb 3.48-3.63
Tm 0.6323 0.1008 0.3976  4 Tm 3.48-3.61, 7 Tb 3.48-3.62, 1 Sm 3.50
Tm 0.8333 0.5033 0.9982  5 Tm 3.47-3.61, 6 Tb 3.47-3.62, 1 Sm 3.49



Version x
This record from the Alexandria database describes a relaxed structure of Tb4SmTm5. The functional is GGA-PBE.

Unit cell a=17.0289 b=3.5071 c=10.9248 alpha=90.00 beta=90.18 gamma=90.00
With the nearest neighbours (Å) after each atom.
Space group C2/m (No. 12)
Symmetry-distinct sites (fractional):
Tb 0.0280 0.0000 0.2479  4 Tm 3.26-3.31, 2 Sm 3.30, 4 Tb 3.51-3.56
Tb 0.1537 0.5000 0.7497  4 Tb 3.51-3.56, 7 Tm 3.64-3.79, 1 Sm 3.77
Sm 0.0000 0.5000 0.5000  4 Tb 3.30, 4 Tm 3.50, 2 Sm 3.51
Tm 0.0000 0.5000 0.0000  4 Tb 3.26, 6 Tm 3.47-3.51
Tm 0.1731 0.0000 0.0486  2 Tb 3.30-3.68, 6 Tm 3.33-3.51
Tm 0.1744 0.0000 0.4474  2 Tb 3.31-3.64, 4 Tm 3.32-3.51, 2 Sm 3.50



Tell me which of them is the least stable. Sure, it is version x.